# 1
## NaCaSmAg (PBE)

Data for crystalline NaCaSmAg at its relaxed geometry.

## Properties
The formation energy is 24 meV/atom. The total energy is -2.698 eV/atom. The theoretical density comes out at 4.70 g cm⁻³.

```
data_NaCaSmAg
_cell_length_a 7.6844
_cell_length_b 7.6844
_cell_length_c 7.6844
_cell_angle_alpha 90.00
_cell_angle_beta 90.00
_cell_angle_gamma 90.00
_symmetry_space_group_name_H-M 'F -4 3 m'
_symmetry_Int_Tables_number 216
_symmetry_space_group_name_Hall 'F -4 2 3'
loop_
_atom_site_label
_atom_site_fract_x
_atom_site_fract_y
_atom_site_fract_z
_atom_site_occupancy
Na1 0.0000 0.0000 0.0000 1
Ca1 0.2500 0.2500 0.2500 1
Sm1 0.2500 0.2500 0.7500 1
Ag1 0.0000 0.0000 0.5000 1
```

---

# 2
## KMoP2S8 (PBE)

Data for crystalline KMoP2S8 at its relaxed geometry.

## Properties
The total energy is -5.002 eV/atom. The theoretical density comes out at 2.56 g cm⁻³. The energy relative to the elements, uncorrected is -0.355 eV per atom.

```
data_KMoP2S8
_cell_length_a 5.9746
_cell_length_b 5.9746
_cell_length_c 28.5373
_cell_angle_alpha 90.00
_cell_angle_beta 90.00
_cell_angle_gamma 120.00
_symmetry_space_group_name_H-M 'R -3'
_symmetry_Int_Tables_number 148
_symmetry_space_group_name_Hall '-R 3'
loop_
_atom_site_label
_atom_site_fract_x
_atom_site_fract_y
_atom_site_fract_z
_atom_site_occupancy
K1 0.0000 0.0000 0.0000 1
Mo1 0.0000 0.0000 0.5000 1
P1 0.0000 0.0000 0.2363 1
S1 0.0000 0.0000 0.3057 1
S2 0.0010 0.3298 0.8801 1
```

---

# 3
## Rb2BaCuI6 (PBE)

Data for crystalline Rb2BaCuI6 at its relaxed geometry.

## Properties
The total energy is -2.757 eV/atom. The theoretical density comes out at 4.01 g cm⁻³. The energy relative to the elements, uncorrected is -1.032 eV per atom.

```
data_Rb2BaCuI6
_cell_length_a 8.7754
_cell_length_b 8.7754
_cell_length_c 12.1946
_cell_angle_alpha 90.00
_cell_angle_beta 90.00
_cell_angle_gamma 90.00
_symmetry_space_group_name_H-M 'I 4/m m m'
_symmetry_Int_Tables_number 139
_symmetry_space_group_name_Hall '-I 4 2'
loop_
_atom_site_label
_atom_site_fract_x
_atom_site_fract_y
_atom_site_fract_z
_atom_site_occupancy
Rb1 0.0000 0.5000 0.2500 1
Ba1 0.0000 0.0000 0.0000 1
Cu1 0.0000 0.0000 0.5000 1
I1 0.0000 0.0000 0.2750 1
I2 0.2298 0.2298 0.5000 1
```

---

# 4
## YTmMgMn (PBE)

Data for crystalline YTmMgMn at its relaxed geometry.

## Properties
The formation energy is 93 meV/atom. The total energy is -5.332 eV/atom. The theoretical density comes out at 5.77 g cm⁻³.

```
data_YTmMgMn
_cell_length_a 7.2945
_cell_length_b 7.2945
_cell_length_c 7.2945
_cell_angle_alpha 90.00
_cell_angle_beta 90.00
_cell_angle_gamma 90.00
_symmetry_space_group_name_H-M 'F -4 3 m'
_symmetry_Int_Tables_number 216
_symmetry_space_group_name_Hall 'F -4 2 3'
loop_
_atom_site_label
_atom_site_fract_x
_atom_site_fract_y
_atom_site_fract_z
_atom_site_occupancy
Y1 0.0000 0.0000 0.0000 1
Tm1 0.0000 0.0000 0.5000 1
Mg1 0.2500 0.2500 0.7500 1
Mn1 0.2500 0.2500 0.2500 1
```

---

# 5
## CrRu2Br (PBE)

Data for crystalline CrRu2Br at its relaxed geometry.

## Properties
As for the offset from the most stable computed form: 0.126 eV per atom. The total energy is -6.820 eV/atom. The theoretical density comes out at 8.99 g cm⁻³. The energy relative to the elements, uncorrected is 0.642 eV per atom.

```
data_CrRu2Br
_cell_length_a 9.2063
_cell_length_b 2.9425
_cell_length_c 4.5854
_cell_angle_alpha 90.00
_cell_angle_beta 96.54
_cell_angle_gamma 90.00
_symmetry_space_group_name_H-M 'C 1 2/m 1'
_symmetry_Int_Tables_number 12
loop_
_symmetry_equiv_pos_as_xyz
'x,y,z'
'-x,-y,-z'
'-x,y,-z'
'x,-y,z'
'x+1/2,y+1/2,z'
'-x+1/2,-y+1/2,-z'
'-x+1/2,y+1/2,-z'
'x+1/2,-y+1/2,z'
loop_
_atom_site_label
_atom_site_fract_x
_atom_site_fract_y
_atom_site_fract_z
_atom_site_occupancy
Cr1 0.0000 0.0000 0.0000 1
Ru1 0.2230 0.5000 0.2208 1
Br1 0.0000 0.5000 0.5000 1
```

---

# 6
## Ho2ThRh9 (PBE)

Data for crystalline Ho2ThRh9 at its relaxed geometry.

## Properties
The formation energy is -626 meV/atom. The total energy is -7.521 eV/atom. The theoretical density comes out at 11.68 g cm⁻³.

```
data_Ho2ThRh9
_cell_length_a 5.2680
_cell_length_b 5.2680
_cell_length_c 26.4040
_cell_angle_alpha 90.00
_cell_angle_beta 90.00
_cell_angle_gamma 120.00
_symmetry_space_group_name_H-M 'R -3 m'
_symmetry_Int_Tables_number 166
_symmetry_space_group_name_Hall '-R 3 2"'
loop_
_atom_site_label
_atom_site_fract_x
_atom_site_fract_y
_atom_site_fract_z
_atom_site_occupancy
Ho1 0.0000 0.0000 0.1402 1
Th1 0.0000 0.0000 0.0000 1
Rh1 0.0000 0.0000 0.3331 1
Rh2 0.0000 0.0000 0.5000 1
Rh3 0.0010 0.5005 0.9164 1
```

---

# 7
## CePa2Ge9 (PBE)

Data for crystalline CePa2Ge9 at its relaxed geometry.

## Properties
The formation energy is -477 meV/atom. The total energy is -6.017 eV/atom. The theoretical density comes out at 8.81 g cm⁻³.

```
data_CePa2Ge9
_cell_length_a 4.2861
_cell_length_b 4.2861
_cell_length_c 12.8833
_cell_angle_alpha 90.00
_cell_angle_beta 90.00
_cell_angle_gamma 90.00
_symmetry_space_group_name_H-M 'P 4/m m m'
_symmetry_Int_Tables_number 123
_symmetry_space_group_name_Hall '-P 4 2'
loop_
_atom_site_label
_atom_site_fract_x
_atom_site_fract_y
_atom_site_fract_z
_atom_site_occupancy
Ce1 0.0000 0.0000 0.0000 1
Pa1 0.0000 0.0000 0.3358 1
Ge1 0.0000 0.5000 0.1698 1
Ge2 0.0000 0.5000 0.5000 1
Ge3 0.5000 0.5000 0.0000 1
Ge4 0.5000 0.5000 0.3338 1
```

---

# 8
## Rh3W (PBE)

Data for crystalline Rh3W at its relaxed geometry.

## Properties
The formation energy is -237 meV/atom. The total energy is -8.989 eV/atom. The theoretical density comes out at 14.14 g cm⁻³.

```
data_Rh3W
_cell_length_a 5.4844
_cell_length_b 5.4844
_cell_length_c 8.8848
_cell_angle_alpha 90.00
_cell_angle_beta 90.00
_cell_angle_gamma 120.00
_symmetry_space_group_name_H-M 'P 63/m m c'
_symmetry_Int_Tables_number 194
_symmetry_space_group_name_Hall '-P 6c 2c'
loop_
_atom_site_label
_atom_site_fract_x
_atom_site_fract_y
_atom_site_fract_z
_atom_site_occupancy
Rh1 0.0000 0.5000 0.0000 1
Rh2 0.1679 0.3357 0.2500 1
W1 0.0000 0.0000 0.0000 1
W2 0.3333 0.6667 0.7500 1
```

---

# 9
## K5NbO4F2 (PBE)

Data for crystalline K5NbO4F2 at its relaxed geometry.

## Properties
The total energy is -5.601 eV/atom. The theoretical density comes out at 2.56 g cm⁻³. The energy relative to the elements, uncorrected is -2.340 eV per atom.

```
data_K5NbO4F2
_cell_length_a 7.6888
_cell_length_b 10.3930
_cell_length_c 6.3321
_cell_angle_alpha 90.00
_cell_angle_beta 90.00
_cell_angle_gamma 90.00
_symmetry_space_group_name_H-M 'A m m 2'
_symmetry_Int_Tables_number 38
loop_
_symmetry_equiv_pos_as_xyz
'x,y,z'
'-x,-y,z'
'-x,y,z'
'x,-y,z'
'x,y+1/2,z+1/2'
'-x,-y+1/2,z+1/2'
'-x,y+1/2,z+1/2'
'x,-y+1/2,z+1/2'
loop_
_atom_site_label
_atom_site_fract_x
_atom_site_fract_y
_atom_site_fract_z
_atom_site_occupancy
K1 0.0000 0.0000 0.0000 1
K2 0.2576 0.1856 0.4909 1
Nb1 0.5000 0.0000 0.0083 1
O1 0.3023 0.0000 0.1845 1
O2 0.5000 0.1470 0.8330 1
F1 0.0000 0.2021 0.7602 1
```

---

# 10
## BaNaGe (PBE)

Data for crystalline BaNaGe at its relaxed geometry.

## Properties
The formation energy is -126 meV/atom. The total energy is -2.745 eV/atom. The theoretical density comes out at 3.98 g cm⁻³.

```
data_BaNaGe
_cell_length_a 4.1907
_cell_length_b 4.1907
_cell_length_c 11.0721
_cell_angle_alpha 90.00
_cell_angle_beta 90.00
_cell_angle_gamma 90.00
_symmetry_space_group_name_H-M 'I 4 m m'
_symmetry_Int_Tables_number 107
_symmetry_space_group_name_Hall 'I 4 -2'
loop_
_atom_site_label
_atom_site_fract_x
_atom_site_fract_y
_atom_site_fract_z
_atom_site_occupancy
Ba1 0.0000 0.0000 0.0000 1
Na1 0.0000 0.0000 0.7108 1
Ge1 0.0000 0.0000 0.3257 1
```

---

# 11
## Li2CePb (PBE)

Data for crystalline Li2CePb at its relaxed geometry.

## Properties
The formation energy is -249 meV/atom. As for the offset from the most stable computed form: 0.000 eV per atom. The total energy is -3.616 eV/atom. The theoretical density comes out at 6.92 g cm⁻³.

```
data_Li2CePb
_cell_length_a 7.0247
_cell_length_b 7.0247
_cell_length_c 7.0247
_cell_angle_alpha 90.00
_cell_angle_beta 90.00
_cell_angle_gamma 90.00
_symmetry_space_group_name_H-M 'F m -3 m'
_symmetry_Int_Tables_number 225
_symmetry_space_group_name_Hall '-F 4 2 3'
loop_
_atom_site_label
_atom_site_fract_x
_atom_site_fract_y
_atom_site_fract_z
_atom_site_occupancy
Li1 0.2500 0.2500 0.2500 1
Ce1 0.0000 0.0000 0.0000 1
Pb1 0.0000 0.0000 0.5000 1
```

---

# 12
## ZnTeAsSe2 (PBE)

Data for crystalline ZnTeAsSe2 at its relaxed geometry.

## Properties
As for the offset from the most stable computed form: 0.266 eV per atom. The total energy is -2.462 eV/atom. The theoretical density comes out at 4.52 g cm⁻³. The energy relative to the elements, uncorrected is 0.745 eV per atom.

```
data_ZnTeAsSe2
_cell_length_a 5.3664
_cell_length_b 5.3664
_cell_length_c 5.4360
_cell_angle_alpha 90.00
_cell_angle_beta 90.00
_cell_angle_gamma 90.00
_symmetry_space_group_name_H-M 'P 4/m m m'
_symmetry_Int_Tables_number 123
_symmetry_space_group_name_Hall '-P 4 2'
loop_
_atom_site_label
_atom_site_fract_x
_atom_site_fract_y
_atom_site_fract_z
_atom_site_occupancy
Zn1 0.0000 0.0000 0.0000 1
Te1 0.5000 0.5000 0.5000 1
As1 0.5000 0.5000 0.0000 1
Se1 0.0000 0.5000 0.5000 1
```

---

Number 1: size of the total moment 0.0 μB per cell. Number 2: size of the total moment 3.1 μB per cell. Number 3: size of the total moment 2.0 μB per cell. Number 4: size of the total moment 12.9 μB per cell. Number 5: size of the total moment 3.6 μB per cell. Number 6: size of the total moment 0.0 μB per cell. Number 7: size of the total moment 0.0 μB per cell. Number 8: size of the total moment 0.0 μB per cell. Number 9: size of the total moment 0.4 μB per cell. Number 10: size of the total moment 0.0 μB per cell. Number 11: size of the total moment 4.6 μB per cell. Number 12: size of the total moment 0.9 μB per cell.